No. 1
First-principles (PBE) data for a relaxed CsRb3Pb crystal, as listed in the Alexandria database.

## Properties
- energy relative to the elements (kJ/mol of formula units) = 14
- excess energy over the best structure of this formula in the dataset (eV/atom) = 0.063
- total magnetic moment (μB per formula unit) = 0.55
- energy (eV per atom) = -1.464
- volume (Å³/atom) = 80.8

abc: 7.3936 7.3936 7.3936
angles: 90.00 90.00 90.00
With the nearest neighbours (Å) after each atom.
Space group Pm-3m (No. 221)
Inequivalent atoms, fractional coordinates:
Cs 0.0000 0.0000 0.0000  12 Rb 5.23
Rb 0.0000 0.5000 0.5000  2 Pb 3.70
Pb 0.5000 0.5000 0.5000  6 Rb 3.70



No. 2
First-principles (PBE) data for a relaxed RbTlPt crystal, as listed in the Alexandria database.

## Properties
- energy relative to the elements (kJ/mol of formula units) = -3
- excess energy over the best structure of this formula in the dataset (eV/atom) = 0.161
- total magnetic moment (μB per formula unit) = 0.00
- energy (eV per atom) = -3.134
- volume (Å³/atom) = 27.1

abc: 5.9401 6.4432 8.4970
angles: 90.00 90.00 90.00
With the nearest neighbours (Å) after each atom.
Space group Imma (No. 74)
Inequivalent atoms, fractional coordinates:
Rb 0.0000 0.2500 0.1169  6 Pt 3.45-3.72, 6 Tl 3.52-3.63, 4 Rb 3.73-3.79
Tl 0.0000 0.0000 0.5000  4 Pt 3.05, 2 Tl 3.22
Pt 0.2500 0.2500 0.7500  2 Pt 2.97, 4 Tl 3.05



No. 3
First-principles (PBE) data for a relaxed Na2Pr2USe6 crystal, as listed in the Alexandria database.

## Properties
- total magnetic moment (μB per formula unit) = 2.00
- raw formation energy (eV/atom) = -1.51
- energy (eV per atom) = -5.545
- volume (Å³/atom) = 30.3

abc: 7.4376 12.7642 7.4325
angles: 90.00 109.36 90.00
With the nearest neighbours (Å) after each atom.
Space group C2/m (No. 12)
Inequivalent atoms, fractional coordinates:
Na 0.0000 0.1701 0.0000  6 Se 3.07-3.15
Pr 0.0000 0.3341 0.5000  6 Se 2.98-3.01
U 0.0000 0.0000 0.5000  6 Se 2.83-2.87
Se 0.2352 0.1611 0.7298  1 U 2.87, 2 Pr 2.98-3.01, 2 Na 3.07-3.15
Se 0.2380 0.0000 0.2712  1 U 2.83, 2 Pr 3.00, 2 Na 3.09